No. 1
## La2BiAs2 (PBE)

Data for crystalline La2BiAs2 at its relaxed geometry.

a = 8.480 Å, b = 8.480 Å, c = 3.989 Å
α = 90.00°, β = 90.00°, γ = 90.00°
Fractional coordinates of all 10 atoms:
La  0.148  0.352  0.000
La  0.352  0.852  0.000
La  0.648  0.148  0.000
La  0.852  0.648  0.000
Bi  0.000  0.000  0.000
Bi  0.500  0.500  0.000
As  0.161  0.661  0.500
As  0.339  0.161  0.500
As  0.661  0.839  0.500
As  0.839  0.339  0.500

## Properties
- calculated volume (Å³/cell) = 286.9
- mass density (Mg/m³) = 7.4
- crystal system = tetragonal
- E_form (eV/atom) = -0.8962
- relative energy among the computed polymorphs (eV per atom) = 0.1826
- total moment (μB per formula unit) = 0.0
- total energy (eV per cell) = -55.032

No. 2
## InGaHg (PBE)

Data for crystalline InGaHg at its relaxed geometry.

a = 3.454 Å, b = 6.201 Å, c = 7.206 Å
α = 87.55°, β = 78.20°, γ = 76.12°
Fractional coordinates of all 6 atoms:
In  0.000  0.000  0.000
In  0.162  0.709  0.496
Ga  0.541  0.101  0.660
Ga  0.796  0.590  0.159
Hg  0.227  0.209  0.330
Hg  0.571  0.502  0.824

## Properties
- calculated volume (Å³/cell) = 146.6
- mass density (Mg/m³) = 8.7
- crystal system = triclinic
- E_form (eV/atom) = 0.0580
- total moment (μB per formula unit) = 0.0
- total energy (eV per cell) = -11.786